Record 1
The following is a PBE-GGA calculation of crystalline BaSrPd5Pb2 at its relaxed geometry, from Alexandria via LeMat-Bulk.

Computed properties:
Raw total energy in eV per atom: -4.4728
Calculated density in g/cm³: 8.9
Density of states at the Fermi level in states/eV per cell: 3.619
Total magnetic moment in μB/cell: 0.000
E_form in eV/atom: -0.36
Crystal system: tetragonal

Cell lengths 4.8750, 4.8750, 9.1870 Å; angles 90.00, 90.00, 90.00 degrees
Sites, in units of the cell vectors:
Ba1 0.0000 0.0000 0.0000
Sr1 0.0000 0.0000 0.5000
Pd1 0.0000 0.5000 0.2091
Pd2 0.0000 0.5000 0.7909
Pd3 0.5000 0.0000 0.2091
Pd4 0.5000 0.0000 0.7909
Pd5 0.5000 0.5000 0.0000
Pb1 0.5000 0.5000 0.3339
Pb2 0.5000 0.5000 0.6661

Record 2
The following is a PBE-GGA calculation of crystalline BaSr2PdPb at its relaxed geometry, from Alexandria via LeMat-Bulk.

Computed properties:
Raw total energy in eV per atom: -3.2220
Calculated density in g/cm³: 5.0
Density of states at the Fermi level in states/eV per cell: 2.510
Total magnetic moment in μB/cell: 0.000
E_form in eV/atom: -0.38
Crystal system: tetragonal

Cell lengths 5.8381, 5.8381, 6.0713 Å; angles 90.00, 90.00, 90.00 degrees
Sites, in units of the cell vectors:
Ba1 0.0000 0.0000 0.0000
Sr1 0.0000 0.5000 0.5000
Sr2 0.5000 0.0000 0.5000
Pd1 0.0000 0.0000 0.5000
Pb1 0.5000 0.5000 0.0000

Record 3
The following is a PBE-GGA calculation of crystalline BaSrPdPb at its relaxed geometry, from Alexandria via LeMat-Bulk.

Computed properties:
Raw total energy in eV per atom: -3.5176
Calculated density in g/cm³: 6.7
Density of states at the Fermi level in states/eV per cell: 4.004
Total magnetic moment in μB/cell: 0.000
E_form in eV/atom: -0.39
Crystal system: cubic

Cell lengths 5.7272, 5.7272, 5.7272 Å; angles 60.00, 60.00, 60.00 degrees
Sites, in units of the cell vectors:
Ba1 0.0000 0.0000 0.0000
Sr1 0.5000 0.5000 0.5000
Pd1 0.7500 0.7500 0.7500
Pb1 0.2500 0.2500 0.2500

Record 4
The following is a PBE-GGA calculation of crystalline Ba2SrPd4Pb3 at its relaxed geometry, from Alexandria via LeMat-Bulk.

Computed properties:
Raw total energy in eV per atom: -4.2761
Calculated density in g/cm³: 8.3
Density of states at the Fermi level in states/eV per cell: 7.356
Total magnetic moment in μB/cell: 0.000
E_form in eV/atom: -0.53
Crystal system: tetragonal

Cell lengths 4.9253, 4.9253, 11.5804 Å; angles 90.00, 90.00, 90.00 degrees
Sites, in units of the cell vectors:
Ba1 0.0000 0.5000 0.2264
Ba2 0.5000 0.0000 0.7736
Sr1 0.0000 0.0000 0.5000
Pd1 0.0000 0.0000 0.0000
Pd2 0.0000 0.5000 0.6460
Pd3 0.5000 0.0000 0.3540
Pd4 0.5000 0.5000 0.0000
Pb1 0.0000 0.5000 0.8861
Pb2 0.5000 0.0000 0.1139
Pb3 0.5000 0.5000 0.5000

Record 5
The following is a PBE-GGA calculation of crystalline Ba2TePdPb at its relaxed geometry, from Alexandria via LeMat-Bulk.

Computed properties:
Energy relative to the lowest polymorph listed for this composition in meV/atom: 0
Raw total energy in eV per atom: -3.9255
Calculated density in g/cm³: 6.0
Density of states at the Fermi level in states/eV per cell: 2.530
Total magnetic moment in μB/cell: 0.000
Crystal system: tetragonal
Formation energy from raw total energies in meV per atom: -748

Cell lengths 6.2400, 6.2400, 5.1034 Å; angles 90.00, 90.00, 90.00 degrees
Sites, in units of the cell vectors:
Ba1 0.0000 0.5000 0.0000
Ba2 0.5000 0.0000 0.0000
Te1 0.0000 0.0000 0.5000
Pd1 0.5000 0.5000 0.0000
Pb1 0.5000 0.5000 0.5000

Record 6
The following is a PBE-GGA calculation of crystalline Ba2TePdPb at its relaxed geometry, from Alexandria via LeMat-Bulk.

Computed properties:
Energy relative to the lowest polymorph listed for this composition in meV/atom: 676
Raw total energy in eV per atom: -3.2492
Calculated density in g/cm³: 4.8
Density of states at the Fermi level in states/eV per cell: 3.261
Total magnetic moment in μB/cell: 0.000
Crystal system: tetragonal
Formation energy from raw total energies in meV per atom: -71

Cell lengths 6.4865, 6.4865, 5.9364 Å; angles 90.00, 90.00, 90.00 degrees
Sites, in units of the cell vectors:
Ba1 0.0000 0.5000 0.0000
Ba2 0.5000 0.0000 0.0000
Te1 0.0000 0.0000 0.0000
Pd1 0.5000 0.5000 0.5000
Pb1 0.0000 0.0000 0.5000

Record 7
The following is a PBE-GGA calculation of crystalline Ba2TlPdPb at its relaxed geometry, from Alexandria via LeMat-Bulk.

Computed properties:
Energy relative to the lowest polymorph listed for this composition in meV/atom: 5
Raw total energy in eV per atom: -3.3991
Calculated density in g/cm³: 6.6
Density of states at the Fermi level in states/eV per cell: 3.553
Total magnetic moment in μB/cell: 0.000
E_form in eV/atom: -0.38
Crystal system: tetragonal

Cell lengths 6.1674, 6.1674, 5.2372 Å; angles 90.00, 90.00, 90.00 degrees
Sites, in units of the cell vectors:
Ba1 0.0000 0.5000 0.0000
Ba2 0.5000 0.0000 0.0000
Tl1 0.0000 0.0000 0.5000
Pd1 0.5000 0.5000 0.0000
Pb1 0.5000 0.5000 0.5000

Record 8
The following is a PBE-GGA calculation of crystalline BaTl2PdPb at its relaxed geometry, from Alexandria via LeMat-Bulk.

Computed properties:
Energy relative to the lowest polymorph listed for this composition in meV/atom: 698
Raw total energy in eV per atom: -2.6296
Calculated density in g/cm³: 6.2
Density of states at the Fermi level in states/eV per cell: 3.765
Total magnetic moment in μB/cell: 0.000
E_form in eV/atom: 0.48
Crystal system: tetragonal

Cell lengths 5.7873, 5.7873, 6.8950 Å; angles 90.00, 90.00, 90.00 degrees
Sites, in units of the cell vectors:
Ba1 0.0000 0.0000 0.0000
Tl1 0.0000 0.5000 0.5000
Tl2 0.5000 0.0000 0.5000
Pd1 0.5000 0.5000 0.0000
Pb1 0.0000 0.0000 0.5000

Record 9
The following is a PBE-GGA calculation of crystalline BaTl2PdPb at its relaxed geometry, from Alexandria via LeMat-Bulk.

Computed properties:
Energy relative to the lowest polymorph listed for this composition in meV/atom: 24
Raw total energy in eV per atom: -3.3032
Calculated density in g/cm³: 8.4
Density of states at the Fermi level in states/eV per cell: 3.529
Total magnetic moment in μB/cell: 0.000
E_form in eV/atom: -0.19
Crystal system: tetragonal

Cell lengths 5.3646, 5.3646, 5.9161 Å; angles 90.00, 90.00, 90.00 degrees
Sites, in units of the cell vectors:
Ba1 0.0000 0.0000 0.0000
Tl1 0.0000 0.5000 0.5000
Tl2 0.5000 0.0000 0.5000
Pd1 0.0000 0.0000 0.5000
Pb1 0.5000 0.5000 0.0000

Record 10
The following is a PBE-GGA calculation of crystalline BaTlPd3Pb at its relaxed geometry, from Alexandria via LeMat-Bulk.

Computed properties:
Raw total energy in eV per atom: -4.1955
Calculated density in g/cm³: 9.2
Density of states at the Fermi level in states/eV per cell: 5.710
Total magnetic moment in μB/cell: 0.000
E_form in eV/atom: -0.27
Crystal system: orthorhombic

Cell lengths 7.4475, 7.4475, 6.8091 Å; angles 90.00, 90.00, 123.90 degrees
Sites, in units of the cell vectors:
Ba1 0.1960 0.8040 0.7500
Ba2 0.8040 0.1960 0.2500
Tl1 0.4555 0.5445 0.7500
Tl2 0.5445 0.4555 0.2500
Pd1 0.2066 0.2066 0.0000
Pd2 0.2066 0.2066 0.5000
Pd3 0.3343 0.6657 0.2500
Pd4 0.6657 0.3343 0.7500
Pd5 0.7934 0.7934 0.0000
Pd6 0.7934 0.7934 0.5000
Pb1 0.1268 0.8732 0.2500
Pb2 0.8732 0.1268 0.7500

Record 11
The following is a PBE-GGA calculation of crystalline Ba2TlPdPb at its relaxed geometry, from Alexandria via LeMat-Bulk.

Computed properties:
Energy relative to the lowest polymorph listed for this composition in meV/atom: 0
Raw total energy in eV per atom: -3.4041
Calculated density in g/cm³: 6.8
Density of states at the Fermi level in states/eV per cell: 4.474
Total magnetic moment in μB/cell: 0.000
E_form in eV/atom: -0.38
Crystal system: tetragonal

Cell lengths 6.0653, 6.0653, 5.2834 Å; angles 90.00, 90.00, 90.00 degrees
Sites, in units of the cell vectors:
Ba1 0.0000 0.5000 0.0000
Ba2 0.5000 0.0000 0.0000
Tl1 0.0000 0.0000 0.5000
Pd1 0.0000 0.0000 0.0000
Pb1 0.5000 0.5000 0.5000

Record 12
The following is a PBE-GGA calculation of crystalline BaTlPdPb at its relaxed geometry, from Alexandria via LeMat-Bulk.

Computed properties:
Raw total energy in eV per atom: -3.7098
Calculated density in g/cm³: 8.8
Density of states at the Fermi level in states/eV per cell: 1.726
Total magnetic moment in μB/cell: 0.000
E_form in eV/atom: -0.41
Crystal system: trigonal

Cell lengths 6.8657, 6.8657, 6.8657 Å; angles 40.55, 40.55, 40.55 degrees
Sites, in units of the cell vectors:
Ba1 0.0000 0.0000 0.0000
Tl1 0.7825 0.7825 0.7825
Pd1 0.5073 0.5073 0.5073
Pb1 0.2141 0.2141 0.2141

Q: What is the calculated density in the sixth record?
A: 4.8 g/cm³

Q: Among the records above, which one has the highest raw total energy?
A: number 8